First-principles (PBE-GGA) data for a geometry-optimized Li2TaRe structure, as listed in Alexandria via LeMat-Bulk.

For the density of states at the Fermi level, the calculation gives 0.74 states/eV per atom. The calculation puts the energy of formation from the pure elements at 0.278 eV per atom. The value obtained for the raw total energy is -27.01 eV/cell. The density comes out at 9.35 Mg/m³.

It has space group P4mm (No. 99), with a = 3.258 Å, b = 3.258 Å, c = 6.374 Å, α = 90.00°, β = 90.00° and γ = 90.00°. The inequivalent atoms are Li at (0.000, 0.000, 0.000), Li at (0.500, 0.500, 0.236), Ta at (0.500, 0.500, 0.689) and Re at (0.000, 0.000, 0.498).

First-principles (PBE-GGA) data for a geometry-optimized Li2TaRe structure, as listed in Alexandria via LeMat-Bulk.

For the density of states at the Fermi level, the calculation gives 0.42 states/eV per atom. The calculation puts the energy of formation from the pure elements at 0.374 eV per atom. The value obtained for the raw total energy is -106.52 eV/cell. The density comes out at 10.45 Mg/m³.

It has space group F-43m (No. 216), with a = 6.234 Å, b = 6.234 Å, c = 6.234 Å, α = 90.00°, β = 90.00° and γ = 90.00°. The inequivalent atoms are Li at (0.000, 0.000, 0.000), Li at (0.250, 0.250, 0.250), Ta at (0.000, 0.000, 0.500) and Re at (0.250, 0.250, 0.750).

First-principles (PBE-GGA) data for a geometry-optimized LiTaRe structure, as listed in Alexandria via LeMat-Bulk.

For the density of states at the Fermi level, the calculation gives 0.49 states/eV per atom. The calculation puts the energy of formation from the pure elements at 0.111 eV per atom. The value obtained for the raw total energy is -25.88 eV/cell. The density comes out at 13.46 Mg/m³.

It has space group P3m1 (No. 156), with a = 4.4789 Å, b = 4.4789 Å, c = 2.6557 Å, α = 90.00°, β = 90.00° and γ = 120.00°. The inequivalent atoms are Li at (0.0000, 0.0000, 0.0000), Ta at (0.6667, 0.3333, 0.6453) and Re at (0.3333, 0.6667, 0.2906).

First-principles (PBE-GGA) data for a geometry-optimized LiTaRe3 structure, as listed in Alexandria via LeMat-Bulk.

For the density of states at the Fermi level, the calculation gives 1.11 states/eV per atom. The calculation puts the energy of formation from the pure elements at 1.037 eV per atom. The value obtained for the raw total energy is -45.93 eV/cell. The density comes out at 16.92 Mg/m³.

It has space group Pm-3m (No. 221), with a = 4.184 Å, b = 4.184 Å, c = 4.184 Å, α = 90.00°, β = 90.00° and γ = 90.00°. The inequivalent atoms are Li at (0.000, 0.000, 0.000), Ta at (0.500, 0.500, 0.500) and Re at (0.000, 0.000, 0.500).

First-principles (PBE-GGA) data for a geometry-optimized Li2TaRe structure, as listed in Alexandria via LeMat-Bulk.

For the density of states at the Fermi level, the calculation gives 0.67 states/eV per atom. The calculation puts the energy of formation from the pure elements at 0.362 eV per atom. The value obtained for the raw total energy is -53.36 eV/cell. The density comes out at 9.91 Mg/m³.

It has space group Cm (No. 8), with a = 9.065 Å, b = 2.568 Å, c = 5.490 Å, α = 90.00°, β = 92.82° and γ = 90.00°. The inequivalent atoms are Li at (0.000, 0.000, 0.000), Li at (0.249, 0.500, 0.230), Ta at (0.499, 0.000, 0.517) and Re at (0.254, 0.000, 0.736).

First-principles (PBE-GGA) data for a geometry-optimized LiTaRe structure, as listed in Alexandria via LeMat-Bulk.

For the density of states at the Fermi level, the calculation gives 0.71 states/eV per atom. The calculation puts the energy of formation from the pure elements at 0.195 eV per atom. The value obtained for the raw total energy is -51.26 eV/cell. The density comes out at 13.32 Mg/m³.

It has space group Imm2 (No. 44), with a = 2.620 Å, b = 4.382 Å, c = 8.124 Å, α = 90.00°, β = 90.00° and γ = 90.00°. The inequivalent atoms are Li at (0.000, 0.000, 0.000), Ta at (0.000, 0.000, 0.330) and Re at (0.000, 0.000, 0.666).

First-principles (PBE-GGA) data for a geometry-optimized Li3TaRe structure, as listed in Alexandria via LeMat-Bulk.

For the density of states at the Fermi level, the calculation gives 1.09 states/eV per atom. The calculation puts the energy of formation from the pure elements at 1.835 eV per atom. The value obtained for the raw total energy is -20.87 eV/cell. The density comes out at 7.92 Mg/m³.

It has space group Pm-3m (No. 221), with a = 4.333 Å, b = 4.333 Å, c = 4.333 Å, α = 90.00°, β = 90.00° and γ = 90.00°. The inequivalent atoms are Li at (0.000, 0.000, 0.500), Ta at (0.500, 0.500, 0.500) and Re at (0.000, 0.000, 0.000).

First-principles (PBE-GGA) data for a geometry-optimized LiTa4Re structure, as listed in Alexandria via LeMat-Bulk.

For the density of states at the Fermi level, the calculation gives 0.98 states/eV per atom. The calculation puts the energy of formation from the pure elements at 0.622 eV per atom. The value obtained for the raw total energy is -232.16 eV/cell. The density comes out at 13.85 Mg/m³.

It has space group F-43m (No. 216), with a = 7.605 Å, b = 7.605 Å, c = 7.605 Å, α = 90.00°, β = 90.00° and γ = 90.00°. The inequivalent atoms are Li at (0.000, 0.000, 0.000), Ta at (0.124, 0.124, 0.376) and Re at (0.250, 0.250, 0.750).

First-principles (PBE-GGA) data for a geometry-optimized Li2TaRe structure, as listed in Alexandria via LeMat-Bulk.

For the density of states at the Fermi level, the calculation gives 0.71 states/eV per atom. The calculation puts the energy of formation from the pure elements at 0.295 eV per atom. The value obtained for the raw total energy is -26.95 eV/cell. The density comes out at 9.92 Mg/m³.

It has space group P2/m (No. 10), with a = 2.711 Å, b = 4.938 Å, c = 4.824 Å, α = 90.00°, β = 98.98° and γ = 90.00°. The inequivalent atoms are Li at (0.225, 0.000, 0.267), Ta at (0.500, 0.500, 0.000) and Re at (0.000, 0.500, 0.500).

First-principles (PBE-GGA) data for a geometry-optimized Li2TaRe structure, as listed in Alexandria via LeMat-Bulk.

For the density of states at the Fermi level, the calculation gives 0.55 states/eV per atom. The calculation puts the energy of formation from the pure elements at 0.661 eV per atom. The value obtained for the raw total energy is -25.49 eV/cell. The density comes out at 11.15 Mg/m³.

It has space group P4/mmm (No. 123), with a = 3.342 Å, b = 3.342 Å, c = 5.081 Å, α = 90.00°, β = 90.00° and γ = 90.00°. The inequivalent atoms are Li at (0.000, 0.000, 0.226), Ta at (0.500, 0.500, 0.500) and Re at (0.500, 0.500, 0.000).

First-principles (PBE-GGA) data for a geometry-optimized Li2TaRe structure, as listed in Alexandria via LeMat-Bulk.

For the density of states at the Fermi level, the calculation gives 0.47 states/eV per atom. The calculation puts the energy of formation from the pure elements at 0.164 eV per atom. The value obtained for the raw total energy is -54.94 eV/cell. The density comes out at 9.49 Mg/m³.

It has space group Cmm2 (No. 35), with a = 3.130 Å, b = 4.463 Å, c = 9.545 Å, α = 90.00°, β = 90.00° and γ = 90.00°. The inequivalent atoms are Li at (0.000, 0.000, 0.000), Li at (0.000, 0.500, 0.269), Ta at (0.000, 0.000, 0.534) and Re at (0.000, 0.500, 0.768).

First-principles (PBE-GGA) data for a geometry-optimized LiTaRe structure, as listed in Alexandria via LeMat-Bulk.

For the density of states at the Fermi level, the calculation gives 1.25 states/eV per atom. The calculation puts the energy of formation from the pure elements at 0.229 eV per atom. The value obtained for the raw total energy is -51.05 eV/cell. The density comes out at 13.67 Mg/m³.

It has space group I4mm (No. 107), with a = 3.315 Å, b = 3.315 Å, c = 8.273 Å, α = 90.00°, β = 90.00° and γ = 90.00°. The inequivalent atoms are Li at (0.000, 0.000, 0.000), Ta at (0.000, 0.000, 0.677) and Re at (0.000, 0.000, 0.338).